# 1
# PBE LaCd2Ni, optimized geometry
data_LaCd2Ni
_chemical_formula_sum 'La2 Cd4 Ni2'
_cell_length_a 5.677
_cell_length_b 11.863
_cell_length_c 3.525
_cell_angle_alpha 90.00
_cell_angle_beta 126.16
_cell_angle_gamma 90.00
_symmetry_space_group_name_H-M 'C 1 2/m 1'
_symmetry_Int_Tables_number 12
loop_
_symmetry_equiv_pos_as_xyz
'x,y,z'
'-x,-y,-z'
'-x,y,-z'
'x,-y,z'
'x+1/2,y+1/2,z'
'-x+1/2,-y+1/2,-z'
'-x+1/2,y+1/2,-z'
'x+1/2,-y+1/2,z'
loop_
_atom_site_label
_atom_site_type_symbol
_atom_site_fract_x
_atom_site_fract_y
_atom_site_fract_z
_atom_site_occupancy
La1 La 0.000 0.000 0.000 1
Cd1 Cd 0.250 0.250 0.500 1
Ni1 Ni 0.000 0.500 0.000 1
# Spin magnetization: 0.000 μB/cell
# Energy relative to the elements: 0.059 eV/atom
# Fermi-level density of states: 0.671 states/eV/atom
# Final energy: -24.60 eV for the cell shown

---

# 2
# PBE IrAuCl, optimized geometry
data_IrAuCl
_chemical_formula_sum 'Ir4 Au4 Cl4'
_cell_length_a 6.271
_cell_length_b 6.271
_cell_length_c 6.271
_cell_angle_alpha 90.00
_cell_angle_beta 90.00
_cell_angle_gamma 90.00
_symmetry_space_group_name_H-M 'F -4 3 m'
_symmetry_Int_Tables_number 216
_symmetry_space_group_name_Hall 'F -4 2 3'
loop_
_atom_site_label
_atom_site_type_symbol
_atom_site_fract_x
_atom_site_fract_y
_atom_site_fract_z
_atom_site_occupancy
Ir1 Ir 0.000 0.000 0.000 1
Au1 Au 0.250 0.250 0.250 1
Cl1 Cl 0.250 0.250 0.750 1
# Spin magnetization: 7.311 μB/cell
# Fermi-level density of states: 1.106 states/eV/atom
# Final energy: -44.37 eV for the cell shown
# Formation energy (no corrections): 964 meV/atom
# E above lowest polymorph: 0.442 eV per atom

---

# 3
# PBE ZnHg2Sb, optimized geometry
data_ZnHg2Sb
_chemical_formula_sum 'Zn1 Hg2 Sb1'
_cell_length_a 4.150
_cell_length_b 4.187
_cell_length_c 5.951
_cell_angle_alpha 90.00
_cell_angle_beta 95.89
_cell_angle_gamma 90.00
_symmetry_space_group_name_H-M 'P 1 2/m 1'
_symmetry_Int_Tables_number 10
loop_
_symmetry_equiv_pos_as_xyz
'x,y,z'
'-x,-y,-z'
'-x,y,-z'
'x,-y,z'
loop_
_atom_site_label
_atom_site_type_symbol
_atom_site_fract_x
_atom_site_fract_y
_atom_site_fract_z
_atom_site_occupancy
Zn1 Zn 0.000 0.000 0.000 1
Hg1 Hg 0.000 0.000 0.500 1
Hg2 Hg 0.500 0.500 0.500 1
Sb1 Sb 0.500 0.500 0.000 1
# Spin magnetization: 0.000 μB/cell
# Fermi-level density of states: 0.495 states/eV/atom
# Final energy: -5.54 eV for the cell shown
# Formation energy (no corrections): 114 meV/atom
# E above lowest polymorph: 0.034 eV per atom

---

# 4
# PBE TbScMo, optimized geometry
data_TbScMo
_chemical_formula_sum 'Tb1 Sc1 Mo1'
_cell_length_a 4.9109
_cell_length_b 4.9109
_cell_length_c 3.1040
_cell_angle_alpha 90.00
_cell_angle_beta 90.00
_cell_angle_gamma 120.00
_symmetry_space_group_name_H-M 'P -6 m 2'
_symmetry_Int_Tables_number 187
_symmetry_space_group_name_Hall 'P -6 2'
loop_
_atom_site_label
_atom_site_type_symbol
_atom_site_fract_x
_atom_site_fract_y
_atom_site_fract_z
_atom_site_occupancy
Tb1 Tb 0.0000 0.0000 0.0000 1
Sc1 Sc 0.3333 0.6667 0.5000 1
Mo1 Mo 0.6667 0.3333 0.0000 1
# Spin magnetization: 0.000 μB/cell
# Energy relative to the elements: 0.273 eV/atom
# Fermi-level density of states: 0.745 states/eV/atom
# Final energy: -20.97 eV for the cell shown

---

# 5
# PBE Re2WCCl, optimized geometry
data_Re2WCCl
_chemical_formula_sum 'Re2 W1 C1 Cl1'
_cell_length_a 4.865
_cell_length_b 4.865
_cell_length_c 4.612
_cell_angle_alpha 90.00
_cell_angle_beta 90.00
_cell_angle_gamma 90.00
_symmetry_space_group_name_H-M 'P 4/m m m'
_symmetry_Int_Tables_number 123
_symmetry_space_group_name_Hall '-P 4 2'
loop_
_atom_site_label
_atom_site_type_symbol
_atom_site_fract_x
_atom_site_fract_y
_atom_site_fract_z
_atom_site_occupancy
Re1 Re 0.000 0.500 0.000 1
W1 W 0.000 0.000 0.000 1
C1 C 0.500 0.500 0.500 1
Cl1 Cl 0.000 0.000 0.500 1
# Spin magnetization: 2.185 μB/cell
# Fermi-level density of states: 0.588 states/eV/atom
# Final energy: -33.48 eV for the cell shown
# Formation energy (no corrections): 3087 meV/atom

---

# 6
# PBE LaTbNd5Y2, optimized geometry
data_LaTbNd5Y2
_chemical_formula_sum 'La4 Tb4 Nd20 Y8'
_cell_length_a 5.763
_cell_length_b 20.392
_cell_length_c 10.718
_cell_angle_alpha 90.00
_cell_angle_beta 90.00
_cell_angle_gamma 90.00
_symmetry_space_group_name_H-M 'C m c 21'
_symmetry_Int_Tables_number 36
loop_
_symmetry_equiv_pos_as_xyz
'x,y,z'
'-x,-y,z+1/2'
'-x,y,z'
'x,-y,z+1/2'
'x+1/2,y+1/2,z'
'-x+1/2,-y+1/2,z+1/2'
'-x+1/2,y+1/2,z'
'x+1/2,-y+1/2,z+1/2'
loop_
_atom_site_label
_atom_site_type_symbol
_atom_site_fract_x
_atom_site_fract_y
_atom_site_fract_z
_atom_site_occupancy
La1 La 0.000 0.084 0.000 1
Tb1 Tb 0.000 0.299 0.558 1
Nd1 Nd 0.000 0.020 0.289 1
Nd2 Nd 0.000 0.112 0.573 1
Nd3 Nd 0.000 0.204 0.253 1
Nd4 Nd 0.000 0.219 0.861 1
Nd5 Nd 0.000 0.482 0.572 1
Y1 Y 0.000 0.384 0.870 1
Y2 Y 0.000 0.387 0.281 1
# Spin magnetization: 0.000 μB/cell
# Energy relative to the elements: 0.143 eV/atom
# Fermi-level density of states: 1.608 states/eV/atom
# Final energy: -180.16 eV for the cell shown